[1]
The following is a PBE calculation of crystalline MgNb2Cu at its relaxed geometry, from the Alexandria database.

Results
energy relative to the elements = 0.5468 eV/atom

Cell lengths 7.4794, 7.4794, 5.8866 Å; angles 50.56, 50.56, 90.00 degrees
Closest atoms and distances in Å follow each position.
Fractional coordinates of all 8 atoms:
Cu: 0.7500 0.2500 0.5000  2 Mg 2.58, 4 Nb 2.59
Cu: 0.0000 0.0000 0.0000  2 Mg 2.58, 4 Nb 2.59
Nb: 0.0986 0.6250 0.2500  2 Cu 2.59, 2 Nb 2.61, 2 Mg 2.86
Nb: 0.3750 0.3486 0.7500  2 Cu 2.59, 2 Nb 2.61, 2 Mg 2.86
Nb: 0.6514 0.1250 0.2500  2 Cu 2.59, 2 Nb 2.61, 2 Mg 2.86
Nb: 0.8750 0.9014 0.7500  2 Cu 2.59, 2 Nb 2.61, 2 Mg 2.86
Mg: 0.5000 0.5000 0.0000  2 Cu 2.58, 4 Nb 2.86
Mg: 0.2500 0.7500 0.5000  2 Cu 2.58, 4 Nb 2.86


[2]
The following is a PBE calculation of crystalline Mg2Nb2Cu at its relaxed geometry, from the Alexandria database.

Results
energy above the most stable polymorph in this dataset = 0.00 eV per formula unit
energy relative to the elements = 0.6740 eV/atom

Cell lengths 8.3216, 8.3216, 2.8979 Å; angles 90.00, 90.00, 90.00 degrees
Closest atoms and distances in Å follow each position.
Fractional coordinates of all 10 atoms:
Nb: 0.8936 0.6064 0.0000  1 Nb 2.50
Nb: 0.3936 0.8936 0.0000  1 Nb 2.50
Nb: 0.6064 0.1064 0.0000  1 Nb 2.50
Nb: 0.1064 0.3936 0.0000  1 Nb 2.50
Cu: 0.0000 0.0000 0.0000  2 Cu 2.90
Cu: 0.5000 0.5000 0.0000  2 Cu 2.90
Mg: 0.8109 0.3109 0.5000  6 Nb 2.81-2.94, 2 Mg 2.90
Mg: 0.1891 0.6891 0.5000  6 Nb 2.81-2.94, 2 Mg 2.90
Mg: 0.6891 0.8109 0.5000  6 Nb 2.81-2.94, 2 Mg 2.90
Mg: 0.3109 0.1891 0.5000  6 Nb 2.81-2.94, 2 Mg 2.90


[3]
The following is a PBE calculation of crystalline Mg2NbCu2 at its relaxed geometry, from the Alexandria database.

Results
energy above the most stable polymorph in this dataset = 0.16 eV per formula unit
energy relative to the elements = 0.1836 eV/atom

Cell lengths 7.6651, 7.6651, 2.7174 Å; angles 90.00, 90.00, 90.00 degrees
Closest atoms and distances in Å follow each position.
Fractional coordinates of all 10 atoms:
Nb: 0.5000 0.5000 0.0000  2 Nb 2.72, 4 Mg 3.00
Nb: 0.0000 0.0000 0.0000  2 Nb 2.72, 4 Mg 3.00
Mg: 0.6310 0.1310 0.0000  6 Cu 2.56-2.69, 3 Mg 2.72-2.84
Mg: 0.8690 0.6310 0.0000  6 Cu 2.56-2.69, 3 Mg 2.72-2.84
Mg: 0.1310 0.3690 0.0000  6 Cu 2.56-2.69, 3 Mg 2.72-2.84
Mg: 0.3690 0.8690 0.0000  6 Cu 2.56-2.69, 3 Mg 2.72-2.84
Cu: 0.3310 0.1690 0.5000  6 Mg 2.56-2.69, 2 Cu 2.72
Cu: 0.1690 0.6690 0.5000  6 Mg 2.56-2.69, 2 Cu 2.72
Cu: 0.8310 0.3310 0.5000  6 Mg 2.56-2.69, 2 Cu 2.72
Cu: 0.6690 0.8310 0.5000  6 Mg 2.56-2.69, 2 Cu 2.72